Compound: NpNiB2O6
Source: Alexandria via LeMat-Bulk
Functional: PBE with a Hubbard U
Structure: relaxed

a = 4.9089 Å, b = 6.3521 Å, c = 6.3521 Å
α = 87.60°, β = 79.57°, γ = 79.57°
Site moments in Bohr magnetons follow the coordinates.
Fractional positions:
B1 0.2223 0.7993 0.6297  0.01
B2 0.7223 0.6297 0.7993  0.01
B3 0.2777 0.3703 0.2007  0.01
B4 0.7777 0.2007 0.3703  0.01
O1 0.6750 0.1304 0.5870  -0.01
O2 0.8250 0.4130 0.8696  -0.01
O3 0.6537 0.7870 0.9664  0.05
O4 0.3250 0.8696 0.4130  -0.01
O5 0.1537 0.9664 0.7870  0.05
O6 0.0213 0.3194 0.3736  -0.01
O7 0.9787 0.6806 0.6264  -0.01
O8 0.3463 0.2130 0.0336  0.05
O9 0.1750 0.5870 0.1304  -0.01
O10 0.5213 0.3736 0.3194  -0.01
O11 0.8463 0.0336 0.2130  0.05
O12 0.4787 0.6264 0.6806  -0.01
Ni1 0.2500 0.9064 0.0936  1.77
Ni2 0.7500 0.0936 0.9064  1.77
Np1 0.7500 0.6903 0.3097  3.10
Np2 0.2500 0.3097 0.6903  3.10

Results
Its volume is 9.58 A^3/atom. The total energy is -162.74 eV/cell. The calculation puts the theoretical density at 7.2 g/cm³. The total magnetization is 10.00 μB per cell.